## ScRu3F (GGA-PBE)

Data for a relaxed ScRu3F crystal.

a = 4.750 Å, b = 4.750 Å, c = 4.750 Å
α = 90.00°, β = 90.00°, γ = 90.00°
Positions (direct):
F 0.500 0.500 0.500
Ru 0.000 0.500 0.000
Ru 0.000 0.000 0.500
Ru 0.500 0.000 0.000
Sc 0.000 0.000 0.000

As for the calculated volume: 21.440 Å³ per atom. As for the crystal system: cubic. Its space group is Pm-3m (221). For the formation energy without anion corrections, the calculation gives 1655 meV/atom.

## ScRuF2 (GGA-PBE)

Data for a relaxed ScRuF2 crystal.

a = 7.605 Å, b = 7.605 Å, c = 7.605 Å
α = 21.46°, β = 21.46°, γ = 21.46°
Positions (direct):
Ru 0.000 0.000 0.000
F 0.098 0.098 0.098
F 0.902 0.902 0.902
Sc 0.500 0.500 0.500

As for the calculated volume: 12.891 Å³ per atom. As for the crystal system: trigonal. Its space group is R-3m (166). For the formation energy without anion corrections, the calculation gives -1487 meV/atom.

## ScRuF2 (GGA-PBE)

Data for a relaxed ScRuF2 crystal.

a = 3.837 Å, b = 3.837 Å, c = 7.880 Å
α = 75.91°, β = 75.91°, γ = 90.00°
Positions (direct):
F 0.141 0.625 0.250
F 0.375 0.391 0.750
F 0.875 0.859 0.750
F 0.609 0.125 0.250
Sc 0.500 0.500 0.000
Sc 0.250 0.750 0.500
Ru 0.000 0.000 0.000
Ru 0.750 0.250 0.500

As for the calculated volume: 13.614 Å³ per atom. As for the crystal system: tetragonal. Its space group is I-42d (122). For the formation energy without anion corrections, the calculation gives -1409 meV/atom.

| no. | relative energy among the computed polymorphs (meV per atom) |
| --- | --- |
| 1 | 1195 |
| 2 | 0 |
| 3 | 78 |